{
  "formula": "NaMn2F",
  "functional": "PBE with a Hubbard U",
  "state": "optimized geometry",
  "spacegroup": "I-42d, No. 122",
  "e_above_lowest_polymorph_mev_per_atom": 0.0,
  "final_energy_ev_per_atom": -4.80,
  "m_tot_mub_per_fu": 9.58,
  "density_g_cm3": 2.9,
  "cell": [[-1.886, 1.886, 12.068], [1.886, -1.886, 12.068], [1.886, 1.886, -12.068]],
  "species": ["Na", "Na", "Mn", "Mn", "Mn", "Mn", "F", "F"],
  "frac_coords": [[0.000, 0.000, 0.000], [0.750, 0.250, 0.500], [0.129, 0.125, 0.504], [0.375, 0.871, 0.996], [0.621, 0.625, 0.496], [0.875, 0.379, 0.004], [0.250, 0.750, 0.500], [0.500, 0.500, 0.000]]
}